Entry 1:
First-principles (meta-GGA SCAN) data for a PBEsol-optimized structure of TeMoIr2, as listed in Alexandria.

```
4
Lattice="1.444 0.834 9.107 -1.444 0.834 9.107 0.000 -1.668 9.107" Properties=species:S:1:pos:R:3 pbc="T T T"
Te 0.000 0.000 0.000
Mo 0.000 0.000 13.660
Ir 0.000 0.000 6.666
Ir 0.000 0.000 20.654
```

Space group: R-3m, No. 166
Energy relative to the elements, uncorrected, kcal/mol of atoms: 8.70
Total magnetic moment, μB/atom: 0.000

=====

Entry 2:
First-principles (meta-GGA SCAN) data for a PBEsol-optimized structure of TeMo2Ir, as listed in Alexandria.

```
4
Lattice="4.672 -1.540 0.000 4.672 1.540 0.000 -0.601 0.000 4.643" Properties=species:S:1:pos:R:3 pbc="T T T"
Te 0.000 0.000 0.000
Mo 1.782 0.000 3.310
Mo 6.959 0.000 1.333
Ir 4.371 0.000 2.322
```

Space group: C2/m, No. 12
Energy relative to the elements, uncorrected, kcal/mol of atoms: 7.04
Total magnetic moment, μB/atom: 0.000

=====

Entry 3:
First-principles (meta-GGA SCAN) data for a PBEsol-optimized structure of TeMo2Ir, as listed in Alexandria.

```
4
Lattice="-1.977 1.977 4.098 1.977 -1.977 4.098 1.977 1.977 -4.098" Properties=species:S:1:pos:R:3 pbc="T T T"
Te 0.000 0.000 0.000
Mo 1.977 0.000 2.049
Mo 0.000 1.977 2.049
Ir 0.000 0.000 4.098
```

Space group: I4/mmm, No. 139
Energy relative to the elements, uncorrected, kcal/mol of atoms: 8.45
Total magnetic moment, μB/atom: 0.003

=====

Entry 4:
First-principles (meta-GGA SCAN) data for a PBEsol-optimized structure of TeMoIr3, as listed in Alexandria.

```
5
Lattice="4.683 0.000 0.000 0.000 4.683 0.000 0.000 0.000 4.683" Properties=species:S:1:pos:R:3 pbc="T T T"
Te 0.000 0.000 0.000
Mo 2.341 2.341 2.341
Ir 0.000 2.341 2.341
Ir 2.341 0.000 2.341
Ir 2.341 2.341 0.000
```

Space group: Pm-3m, No. 221
Energy relative to the elements, uncorrected, kcal/mol of atoms: 38.65
Total magnetic moment, μB/atom: 0.000

=====

Entry 5:
First-principles (meta-GGA SCAN) data for a PBEsol-optimized structure of TeMoIr2, as listed in Alexandria.

```
4
Lattice="3.966 0.000 0.000 0.000 3.966 0.000 0.000 0.000 4.037" Properties=species:S:1:pos:R:3 pbc="T T T"
Te 0.000 0.000 0.000
Mo 1.983 1.983 0.000
Ir 0.000 1.983 2.019
Ir 1.983 0.000 2.019
```

Space group: P4/mmm, No. 123
Energy relative to the elements, uncorrected, kcal/mol of atoms: 8.09
Total magnetic moment, μB/atom: 0.357

=====

Entry 6:
First-principles (meta-GGA SCAN) data for a PBEsol-optimized structure of TeMo2Ir, as listed in Alexandria.

```
4
Lattice="1.513 0.873 8.538 -1.513 0.873 8.538 0.000 -1.747 8.538" Properties=species:S:1:pos:R:3 pbc="T T T"
Te 0.000 0.000 0.000
Mo 0.000 0.000 6.364
Mo 0.000 0.000 12.881
Ir 0.000 0.000 19.424
```

Space group: R3m, No. 160
Energy relative to the elements, uncorrected, kcal/mol of atoms: 10.52
Total magnetic moment, μB/atom: 0.000

=====

Entry 7:
First-principles (meta-GGA SCAN) data for a PBEsol-optimized structure of TeMoIr3, as listed in Alexandria.

```
5
Lattice="4.747 0.000 0.000 0.000 4.747 0.000 0.000 0.000 4.747" Properties=species:S:1:pos:R:3 pbc="T T T"
Te 0.000 0.000 0.000
Mo 2.374 2.374 2.374
Ir 0.000 0.000 2.374
Ir 0.000 2.374 0.000
Ir 2.374 0.000 0.000
```

Space group: Pm-3m, No. 221
Energy relative to the elements, uncorrected, kcal/mol of atoms: 47.02
Total magnetic moment, μB/atom: 1.074

=====

Entry 8:
First-principles (meta-GGA SCAN) data for a PBEsol-optimized structure of TeMo2Ir, as listed in Alexandria.

```
4
Lattice="0.000 3.182 3.182 3.182 0.000 3.182 3.182 3.182 0.000" Properties=species:S:1:pos:R:3 pbc="T T T"
Te 0.000 0.000 0.000
Mo 1.591 1.591 1.591
Mo 4.773 4.773 4.773
Ir 3.182 3.182 3.182
```

Space group: Fm-3m, No. 225
Energy relative to the elements, uncorrected, kcal/mol of atoms: 6.73
Total magnetic moment, μB/atom: 0.000

=====

Entry 9:
First-principles (meta-GGA SCAN) data for a PBEsol-optimized structure of TlMo2Ir, as listed in Alexandria.

```
4
Lattice="0.000 3.200 3.200 3.200 0.000 3.200 3.200 3.200 0.000" Properties=species:S:1:pos:R:3 pbc="T T T"
Tl 0.000 0.000 0.000
Mo 1.600 1.600 1.600
Mo 4.801 4.801 4.801
Ir 3.200 3.200 3.200
```

Space group: Fm-3m, No. 225
E, eV/atom: -52.58
Total magnetic moment, μB/atom: 0.000

=====

Entry 10:
First-principles (meta-GGA SCAN) data for a PBEsol-optimized structure of TlMo2Ir, as listed in Alexandria.

```
4
Lattice="2.805 0.000 0.000 0.000 2.805 0.000 0.000 0.000 8.291" Properties=species:S:1:pos:R:3 pbc="T T T"
Tl 0.000 0.000 0.000
Mo 1.403 1.403 2.262
Mo 1.403 1.403 6.029
Ir 0.000 0.000 4.145
```

Space group: P4/mmm, No. 123
E, eV/atom: -53.04
Total magnetic moment, μB/atom: 0.000

=====

Entry 11:
First-principles (meta-GGA SCAN) data for a PBEsol-optimized structure of MoIr2W, as listed in Alexandria.

```
4
Lattice="-1.940 1.940 3.881 1.940 -1.940 3.881 1.940 1.940 -3.881" Properties=species:S:1:pos:R:3 pbc="T T T"
Mo 0.000 0.000 0.000
Ir 1.940 0.000 1.941
Ir 0.000 1.940 1.941
W 0.000 0.000 3.881
```

Space group: I4/mmm, No. 139
E, eV/atom: -62.08
Total magnetic moment, μB/atom: 0.000

=====

Entry 12:
First-principles (meta-GGA SCAN) data for a PBEsol-optimized structure of MoIr4W, as listed in Alexandria.

```
6
Lattice="0.000 3.574 3.574 3.574 0.000 3.574 3.574 3.574 0.000" Properties=species:S:1:pos:R:3 pbc="T T T"
Mo 0.000 0.000 0.000
Ir 4.467 2.680 2.680
Ir 2.680 4.467 2.680
Ir 2.680 2.680 4.467
Ir 4.467 4.467 4.467
W 1.787 1.787 1.787
```

Space group: F-43m, No. 216
E, eV/atom: -64.56
Total magnetic moment, μB/atom: 0.000

=====

Entry 13:
First-principles (meta-GGA SCAN) data for a PBEsol-optimized structure of MoIrW2, as listed in Alexandria.

```
4
Lattice="-1.944 1.944 4.025 1.944 -1.944 4.025 1.944 1.944 -4.025" Properties=species:S:1:pos:R:3 pbc="T T T"
Mo 0.000 0.000 0.000
Ir 1.944 0.000 2.013
W 0.000 0.000 4.025
W 0.000 1.944 2.013
```

Space group: I-4m2, No. 119
E, eV/atom: -61.29
Total magnetic moment, μB/atom: 0.000

=====

Entry 14:
First-principles (meta-GGA SCAN) data for a PBEsol-optimized structure of MoIrW2, as listed in Alexandria.

```
4
Lattice="1.377 0.795 9.342 -1.377 0.795 9.342 0.000 -1.590 9.342" Properties=species:S:1:pos:R:3 pbc="T T T"
Mo 0.000 0.000 0.000
Ir 0.000 0.000 14.013
W 0.000 0.000 6.917
W 0.000 0.000 21.110
```

Space group: R-3m, No. 166
E, eV/atom: -61.13
Total magnetic moment, μB/atom: 0.000

=====

Entry 15:
First-principles (meta-GGA SCAN) data for a PBEsol-optimized structure of Mo2IrW, as listed in Alexandria.

```
4
Lattice="2.776 -3.947 0.000 2.776 3.947 0.000 0.000 0.000 2.752" Properties=species:S:1:pos:R:3 pbc="T T T"
Mo 1.388 1.974 0.000
Mo 1.388 -1.974 0.000
Ir 0.000 0.000 1.376
W 2.776 0.000 1.376
```

Space group: Cmmm, No. 65
E, eV/atom: -52.59
Total magnetic moment, μB/atom: 0.000

=====

Entry 16:
First-principles (meta-GGA SCAN) data for a PBEsol-optimized structure of MoIrW2, as listed in Alexandria.

```
4
Lattice="2.701 0.000 0.000 0.000 4.377 0.000 -0.881 0.000 5.149" Properties=species:S:1:pos:R:3 pbc="T T T"
Mo 0.000 0.000 0.000
Ir 0.910 0.000 2.575
W -0.067 2.188 3.872
W 1.886 2.188 1.277
```

Space group: P2/m, No. 10
E, eV/atom: -61.30
Total magnetic moment, μB/atom: 0.000